Record 1
Pm2NdAs after structural relaxation, computed with PBE.

## Properties
For the energy above the lowest structure with this stoichiometry, the calculation gives 76 meV/atom. As for the formation energy: -2.176 eV per formula unit. Its volume is 29.13 Å³ per atom. As for the total magnetic moment: 0.00 Bohr magnetons per cell. The value obtained for the total energy is -5.274 eV/atom. As for the crystal system: tetragonal.

Lattice parameters (Å, degrees): 3.862 3.862 7.814 90.00 90.00 90.00
Space group P4/mmm (No. 123)
Asymmetric unit:
Pm  0.000  0.000  0.198 x2
Nd  0.500  0.500  0.500 x1
As  0.500  0.500  0.000 x1


Record 2
KIn3Hg5 after structural relaxation, computed with PBE.

## Properties
As for the formation energy: -0.372 eV per formula unit. Its volume is 27.75 Å³ per atom. As for the total magnetic moment: 0.00 Bohr magnetons per cell. The value obtained for the total energy is -1.244 eV/atom. As for the crystal system: hexagonal.

Lattice parameters (Å, degrees): 9.2349 9.2349 6.7631 90.00 90.00 120.00
Space group P6_3/mcm (No. 193)
Asymmetric unit:
K  0.0000  0.0000  0.0000 x2
In  0.0000  0.3556  0.2500 x6
Hg  0.0000  0.3236  0.7500 x6
Hg  0.3333  0.6667  0.0000 x4